## LaGaPd6 (PBE)

Data for a relaxed LaGaPd6 crystal.

Results
DFT formation energy, eV/atom: -0.312

```
data_LaGaPd6
_cell_length_a 5.5665
_cell_length_b 5.5665
_cell_length_c 18.9863
_cell_angle_alpha 90.00
_cell_angle_beta 90.00
_cell_angle_gamma 120.00
_space_group_name_H-M_alt 'R -3 m'
_space_group_IT_number 166
_space_group_name_Hall '-R 3 2"'
loop_
_atom_site_label
_atom_site_type_symbol
_atom_site_fract_x
_atom_site_fract_y
_atom_site_fract_z
La1 La 0.0000 0.0000 0.0000
Ga1 Ga 0.0000 0.0000 0.5000
Pd1 Pd 0.0098 0.5049 0.9285
```

## PrHPt (PBE)

Data for a relaxed PrHPt crystal.

Results
Offset from the most stable computed form, meV per atom: 308

```
data_PrHPt
_cell_length_a 4.1166
_cell_length_b 4.1166
_cell_length_c 3.6620
_cell_angle_alpha 90.00
_cell_angle_beta 90.00
_cell_angle_gamma 120.00
_space_group_name_H-M_alt 'P 3 m 1'
_space_group_IT_number 156
_space_group_name_Hall 'P 3 -2"'
loop_
_atom_site_label
_atom_site_type_symbol
_atom_site_fract_x
_atom_site_fract_y
_atom_site_fract_z
Pr1 Pr 0.0000 0.0000 0.0000
H1 H 0.6667 0.3333 0.5062
Pt1 Pt 0.3333 0.6667 0.5008
```

Please write out number 2 again, unchanged.
## PrHPt (PBE)

Data for a relaxed PrHPt crystal.

Results
Offset from the most stable computed form, meV per atom: 308

```
data_PrHPt
_cell_length_a 4.1166
_cell_length_b 4.1166
_cell_length_c 3.6620
_cell_angle_alpha 90.00
_cell_angle_beta 90.00
_cell_angle_gamma 120.00
_space_group_name_H-M_alt 'P 3 m 1'
_space_group_IT_number 156
_space_group_name_Hall 'P 3 -2"'
loop_
_atom_site_label
_atom_site_type_symbol
_atom_site_fract_x
_atom_site_fract_y
_atom_site_fract_z
Pr1 Pr 0.0000 0.0000 0.0000
H1 H 0.6667 0.3333 0.5062
Pt1 Pt 0.3333 0.6667 0.5008
```

Q: Which formula does entry 2 have?
A: PrHPt